Entry 1:
The following is a GGA-PBE calculation of a relaxed structure of ZnCo2SnIr, from Alexandria.

Geometry as CIF:
```
data_ZnCo2SnIr
_cell_length_a 4.6377
_cell_length_b 4.7377
_cell_length_c 4.6377
_cell_angle_alpha 90.00
_cell_angle_beta 90.00
_cell_angle_gamma 90.00
_symmetry_space_group_name_H-M 'P 1'
_symmetry_Int_Tables_number 1
loop_
_symmetry_equiv_pos_as_xyz
'x,y,z'
loop_
_atom_site_label
_atom_site_fract_x
_atom_site_fract_y
_atom_site_fract_z
Zn1 0.0000 0.5000 0.0000
Ir1 0.0000 0.0000 0.0000
Co1 0.0000 0.0000 0.5000
Co2 0.5000 0.0000 0.0000
Sn1 0.5000 0.5000 0.5000
```

Space-group type: No. 123

---

Entry 2:
The following is a GGA-PBE calculation of a relaxed structure of SrCoIr, from Alexandria.

Geometry as CIF:
```
data_SrCoIr
_cell_length_a 4.6516
_cell_length_b 4.6516
_cell_length_c 4.6516
_cell_angle_alpha 60.00
_cell_angle_beta 60.00
_cell_angle_gamma 60.00
_symmetry_space_group_name_H-M 'P 1'
_symmetry_Int_Tables_number 1
loop_
_symmetry_equiv_pos_as_xyz
'x,y,z'
loop_
_atom_site_label
_atom_site_fract_x
_atom_site_fract_y
_atom_site_fract_z
Co1 0.0000 0.0000 0.0000
Ir1 0.5000 0.5000 0.5000
Sr1 0.7500 0.7500 0.7500
```

Space-group type: No. 216

---

Entry 3:
The following is a GGA-PBE calculation of a relaxed structure of Sr2CoIr2, from Alexandria.

Geometry as CIF:
```
data_Sr2CoIr2
_cell_length_a 6.6267
_cell_length_b 6.6267
_cell_length_c 4.9052
_cell_angle_alpha 90.00
_cell_angle_beta 90.00
_cell_angle_gamma 90.00
_symmetry_space_group_name_H-M 'P 1'
_symmetry_Int_Tables_number 1
loop_
_symmetry_equiv_pos_as_xyz
'x,y,z'
loop_
_atom_site_label
_atom_site_fract_x
_atom_site_fract_y
_atom_site_fract_z
Sr1 0.1795 0.6795 0.5000
Sr2 0.6795 0.8205 0.5000
Sr3 0.8205 0.3205 0.5000
Sr4 0.3205 0.1795 0.5000
Ir1 0.3670 0.8670 0.0000
Ir2 0.8670 0.6330 0.0000
Ir3 0.6330 0.1330 0.0000
Ir4 0.1330 0.3670 0.0000
Co1 0.0000 0.0000 0.0000
Co2 0.5000 0.5000 0.0000
```

Space-group type: No. 127

---

Entry 4:
The following is a GGA-PBE calculation of a relaxed structure of Sr3CoIr, from Alexandria.

Geometry as CIF:
```
data_Sr3CoIr
_cell_length_a 5.2981
_cell_length_b 5.2981
_cell_length_c 5.2981
_cell_angle_alpha 90.00
_cell_angle_beta 90.00
_cell_angle_gamma 90.00
_symmetry_space_group_name_H-M 'P 1'
_symmetry_Int_Tables_number 1
loop_
_symmetry_equiv_pos_as_xyz
'x,y,z'
loop_
_atom_site_label
_atom_site_fract_x
_atom_site_fract_y
_atom_site_fract_z
Sr1 0.0000 0.5000 0.0000
Sr2 0.0000 0.0000 0.5000
Sr3 0.5000 0.0000 0.0000
Ir1 0.5000 0.5000 0.5000
Co1 0.0000 0.0000 0.0000
```

Space-group type: No. 221

---

Entry 5:
The following is a GGA-PBE calculation of a relaxed structure of SrCoIr, from Alexandria.

Geometry as CIF:
```
data_SrCoIr
_cell_length_a 4.0518
_cell_length_b 4.0518
_cell_length_c 4.6970
_cell_angle_alpha 90.00
_cell_angle_beta 90.00
_cell_angle_gamma 120.00
_symmetry_space_group_name_H-M 'P 1'
_symmetry_Int_Tables_number 1
loop_
_symmetry_equiv_pos_as_xyz
'x,y,z'
loop_
_atom_site_label
_atom_site_fract_x
_atom_site_fract_y
_atom_site_fract_z
Co1 0.0000 0.0000 0.1666
Ir1 0.6667 0.3333 0.1667
Sr1 0.3333 0.6667 0.6667
```

Space-group type: No. 187

---

Entry 6:
The following is a GGA-PBE calculation of a relaxed structure of Sr2CoIr2, from Alexandria.

Geometry as CIF:
```
data_Sr2CoIr2
_cell_length_a 8.8081
_cell_length_b 8.8081
_cell_length_c 2.9738
_cell_angle_alpha 90.00
_cell_angle_beta 90.00
_cell_angle_gamma 90.00
_symmetry_space_group_name_H-M 'P 1'
_symmetry_Int_Tables_number 1
loop_
_symmetry_equiv_pos_as_xyz
'x,y,z'
loop_
_atom_site_label
_atom_site_fract_x
_atom_site_fract_y
_atom_site_fract_z
Sr1 0.3643 0.8643 0.0000
Sr2 0.8643 0.6357 0.0000
Sr3 0.6357 0.1357 0.0000
Sr4 0.1357 0.3643 0.0000
Ir1 0.1672 0.6672 0.5000
Ir2 0.6672 0.8328 0.5000
Ir3 0.8328 0.3328 0.5000
Ir4 0.3328 0.1672 0.5000
Co1 0.0000 0.0000 0.0000
Co2 0.5000 0.5000 0.0000
```

Space-group type: No. 127

---

Entry 7:
The following is a GGA-PBE calculation of a relaxed structure of Sr2CoIr2, from Alexandria.

Geometry as CIF:
```
data_Sr2CoIr2
_cell_length_a 3.5984
_cell_length_b 3.5984
_cell_length_c 9.4983
_cell_angle_alpha 79.08
_cell_angle_beta 79.08
_cell_angle_gamma 90.00
_symmetry_space_group_name_H-M 'P 1'
_symmetry_Int_Tables_number 1
loop_
_symmetry_equiv_pos_as_xyz
'x,y,z'
loop_
_atom_site_label
_atom_site_fract_x
_atom_site_fract_y
_atom_site_fract_z
Sr1 0.3982 0.3982 0.2035
Sr2 0.6018 0.6018 0.7965
Ir1 0.7500 0.2500 0.5000
Ir2 0.2500 0.7500 0.5000
Co1 0.0000 0.0000 0.0000
```

Space-group type: No. 139

---

Entry 8:
The following is a GGA-PBE calculation of a relaxed structure of Sr2Co2Ir, from Alexandria.

Geometry as CIF:
```
data_Sr2Co2Ir
_cell_length_a 6.5558
_cell_length_b 6.5558
_cell_length_c 4.7844
_cell_angle_alpha 90.00
_cell_angle_beta 90.00
_cell_angle_gamma 90.00
_symmetry_space_group_name_H-M 'P 1'
_symmetry_Int_Tables_number 1
loop_
_symmetry_equiv_pos_as_xyz
'x,y,z'
loop_
_atom_site_label
_atom_site_fract_x
_atom_site_fract_y
_atom_site_fract_z
Sr1 0.1867 0.6867 0.5000
Sr2 0.6867 0.8133 0.5000
Sr3 0.8133 0.3133 0.5000
Sr4 0.3133 0.1867 0.5000
Ir1 0.0000 0.0000 0.0000
Ir2 0.5000 0.5000 0.0000
Co1 0.3772 0.8772 0.0000
Co2 0.8772 0.6228 0.0000
Co3 0.6228 0.1228 0.0000
Co4 0.1228 0.3772 0.0000
```

Space-group type: No. 127

---

Entry 9:
The following is a GGA-PBE calculation of a relaxed structure of SrCoIr, from Alexandria.

Geometry as CIF:
```
data_SrCoIr
_cell_length_a 4.0678
_cell_length_b 6.0124
_cell_length_c 6.1082
_cell_angle_alpha 67.30
_cell_angle_beta 70.54
_cell_angle_gamma 90.01
_symmetry_space_group_name_H-M 'P 1'
_symmetry_Int_Tables_number 1
loop_
_symmetry_equiv_pos_as_xyz
'x,y,z'
loop_
_atom_site_label
_atom_site_fract_x
_atom_site_fract_y
_atom_site_fract_z
Sr1 0.3872 0.7058 0.7257
Sr2 0.6128 0.2942 0.2743
Ir1 0.0997 0.6969 0.3008
Ir2 0.9003 0.3031 0.6992
Co1 0.7096 0.8815 0.0810
Co2 0.2904 0.1185 0.9190
```

Space-group type: No. 12

---

Entry 10:
The following is a GGA-PBE calculation of a relaxed structure of SrCoIr, from Alexandria.

Geometry as CIF:
```
data_SrCoIr
_cell_length_a 5.8720
_cell_length_b 5.8723
_cell_length_c 3.3651
_cell_angle_alpha 73.35
_cell_angle_beta 73.35
_cell_angle_gamma 33.30
_symmetry_space_group_name_H-M 'P 1'
_symmetry_Int_Tables_number 1
loop_
_symmetry_equiv_pos_as_xyz
'x,y,z'
loop_
_atom_site_label
_atom_site_fract_x
_atom_site_fract_y
_atom_site_fract_z
Co1 0.0535 0.0535 0.9465
Ir1 0.6163 0.6163 0.3837
Sr1 0.3302 0.3302 0.6698
```

Space-group type: No. 107

---

Entry 11:
The following is a GGA-PBE calculation of a relaxed structure of SrTa2CoIr, from Alexandria.

Geometry as CIF:
```
data_SrTa2CoIr
_cell_length_a 4.5638
_cell_length_b 5.0032
_cell_length_c 4.5638
_cell_angle_alpha 90.00
_cell_angle_beta 90.00
_cell_angle_gamma 90.00
_symmetry_space_group_name_H-M 'P 1'
_symmetry_Int_Tables_number 1
loop_
_symmetry_equiv_pos_as_xyz
'x,y,z'
loop_
_atom_site_label
_atom_site_fract_x
_atom_site_fract_y
_atom_site_fract_z
Sr1 0.5000 0.5000 0.5000
Ir1 0.0000 0.5000 0.0000
Co1 0.0000 0.0000 0.0000
Ta1 0.0000 0.0000 0.5000
Ta2 0.5000 0.0000 0.0000
```

Space-group type: No. 123

---

Entry 12:
The following is a GGA-PBE calculation of a relaxed structure of SrVCo2Ir, from Alexandria.

Geometry as CIF:
```
data_SrVCo2Ir
_cell_length_a 4.7796
_cell_length_b 4.5815
_cell_length_c 4.7796
_cell_angle_alpha 90.00
_cell_angle_beta 90.00
_cell_angle_gamma 90.00
_symmetry_space_group_name_H-M 'P 1'
_symmetry_Int_Tables_number 1
loop_
_symmetry_equiv_pos_as_xyz
'x,y,z'
loop_
_atom_site_label
_atom_site_fract_x
_atom_site_fract_y
_atom_site_fract_z
Sr1 0.5000 0.5000 0.5000
Ir1 0.0000 0.0000 0.0000
Co1 0.0000 0.0000 0.5000
Co2 0.5000 0.0000 0.0000
V1 0.0000 0.5000 0.0000
```

Space-group type: No. 123

---

| no. | total moment (μB per cell) | DFT formation energy (kcal/mol of atoms) |
| --- | --- | --- |
| 1 | 4.14 | 19.567 |
| 2 | 2.22 | 35.473 |
| 3 | 2.87 | 1.873 |
| 4 | 0.00 | 15.727 |
| 5 | 1.68 | 0.005 |
| 6 | 5.32 | 20.723 |
| 7 | 0.01 | 10.146 |
| 8 | 5.09 | 5.567 |
| 9 | 3.34 | -0.861 |
| 10 | 1.67 | 4.993 |
| 11 | 0.00 | 17.343 |
| 12 | 5.03 | 14.767 |